Record 1
The following is a PBE-GGA calculation of a relaxed Hf3Ga4 crystal, from the Alexandria database.

Output
ΔE to the lowest computed polymorph ... 0.0 meV/atom
N(E_F) ... 0.54 states/eV per atom
Final energy ... -6.44 eV/atom

Unit cell a=5.3786 b=5.3786 c=13.1639 alpha=90.00 beta=90.00 gamma=137.92
Atoms (fractional coordinates):
Hf  0.0170  0.9830  0.7500
Hf  0.3040  0.6960  0.5997
Hf  0.3040  0.6960  0.9003
Hf  0.6960  0.3040  0.0997
Hf  0.6960  0.3040  0.4003
Hf  0.9830  0.0170  0.2500
Ga  0.0000  0.0000  0.0000
Ga  0.0000  0.0000  0.5000
Ga  0.2517  0.7483  0.2500
Ga  0.4065  0.5935  0.1046
Ga  0.4065  0.5935  0.3954
Ga  0.5935  0.4065  0.6046
Ga  0.5935  0.4065  0.8954
Ga  0.7483  0.2517  0.7500

Record 2
The following is a PBE-GGA calculation of a relaxed Hf5Ti2N5 crystal, from the Alexandria database.

Output
N(E_F) ... 0.32 states/eV per atom
Final energy ... -10.20 eV/atom

Unit cell a=5.4439 b=5.4439 c=10.4677 alpha=107.03 beta=107.03 gamma=33.16
Atoms (fractional coordinates):
Hf  0.0000  0.0000  0.0000
Hf  0.1551  0.1551  0.5649
Hf  0.2247  0.2247  0.8680
Hf  0.7753  0.7753  0.1320
Hf  0.8449  0.8449  0.4351
Ti  0.4581  0.4581  0.7092
Ti  0.5419  0.5419  0.2908
N  0.1811  0.1811  0.3649
N  0.3892  0.3892  0.0782
N  0.5000  0.5000  0.5000
N  0.6108  0.6108  0.9218
N  0.8189  0.8189  0.6351

Record 3
The following is a PBE-GGA calculation of a relaxed Er3Si7Ni2 crystal, from the Alexandria database.

Output
N(E_F) ... 0.31 states/eV per atom
Final energy ... -5.91 eV/atom

Unit cell a=4.0334 b=4.0074 c=12.3533 alpha=90.00 beta=98.69 gamma=90.00
Atoms (fractional coordinates):
Er  0.0000  0.0000  0.0000
Er  0.3077  0.5000  0.6321
Er  0.6923  0.5000  0.3679
Si  0.1424  0.5000  0.1748
Si  0.2260  0.0000  0.4466
Si  0.4095  0.0000  0.8244
Si  0.5000  0.5000  0.0000
Si  0.5905  0.0000  0.1756
Si  0.7740  0.0000  0.5534
Si  0.8576  0.5000  0.8252
Ni  0.1253  0.0000  0.2604
Ni  0.8747  0.0000  0.7396

What did the third record say?
The following is a PBE-GGA calculation of a relaxed Er3Si7Ni2 crystal, from the Alexandria database.

Output
N(E_F) ... 0.31 states/eV per atom
Final energy ... -5.91 eV/atom

Unit cell a=4.0334 b=4.0074 c=12.3533 alpha=90.00 beta=98.69 gamma=90.00
Atoms (fractional coordinates):
Er  0.0000  0.0000  0.0000
Er  0.3077  0.5000  0.6321
Er  0.6923  0.5000  0.3679
Si  0.1424  0.5000  0.1748
Si  0.2260  0.0000  0.4466
Si  0.4095  0.0000  0.8244
Si  0.5000  0.5000  0.0000
Si  0.5905  0.0000  0.1756
Si  0.7740  0.0000  0.5534
Si  0.8576  0.5000  0.8252
Ni  0.1253  0.0000  0.2604
Ni  0.8747  0.0000  0.7396

Please write out number 2 again, unchanged.
The following is a PBE-GGA calculation of a relaxed Hf5Ti2N5 crystal, from the Alexandria database.

Output
N(E_F) ... 0.32 states/eV per atom
Final energy ... -10.20 eV/atom

Unit cell a=5.4439 b=5.4439 c=10.4677 alpha=107.03 beta=107.03 gamma=33.16
Atoms (fractional coordinates):
Hf  0.0000  0.0000  0.0000
Hf  0.1551  0.1551  0.5649
Hf  0.2247  0.2247  0.8680
Hf  0.7753  0.7753  0.1320
Hf  0.8449  0.8449  0.4351
Ti  0.4581  0.4581  0.7092
Ti  0.5419  0.5419  0.2908
N  0.1811  0.1811  0.3649
N  0.3892  0.3892  0.0782
N  0.5000  0.5000  0.5000
N  0.6108  0.6108  0.9218
N  0.8189  0.8189  0.6351